YB2TeS: optimized geometry, PBE.

Lattice parameters (Å, degrees): 4.958 5.105 4.958 90.00 90.00 90.00
Positions (direct):
Y 0.000 0.000 0.000
S 0.000 0.500 0.000
Te 0.500 0.500 0.500
B 0.000 0.000 0.500
B 0.500 0.000 0.000

## Properties
raw formation energy: 1.361 eV/atom
SG: No. 123
total DFT energy (no corrections): -4.06 eV/atom

=====

ThBS4: optimized geometry, PBE.

Lattice parameters (Å, degrees): 7.997 6.413 5.041 90.00 111.50 90.00
Positions (direct):
Th 0.000 0.000 0.000
Th 0.500 0.500 0.000
B 0.500 0.000 0.500
B 0.000 0.500 0.500
S 0.867 0.617 0.136
S 0.633 0.117 0.864
S 0.362 0.283 0.407
S 0.138 0.783 0.593
S 0.133 0.383 0.864
S 0.367 0.883 0.136
S 0.638 0.717 0.593
S 0.862 0.217 0.407

## Properties
raw formation energy: -0.607 eV/atom
SG: No. 14
total DFT energy (no corrections): -5.71 eV/atom

=====

ThBS: optimized geometry, PBE.

Lattice parameters (Å, degrees): 4.155 4.328 10.383 84.97 78.46 61.31
Positions (direct):
Th 0.862 0.954 0.323
Th 0.138 0.046 0.677
B 0.558 0.339 0.544
B 0.442 0.661 0.456
S 0.251 0.305 0.194
S 0.749 0.695 0.806

## Properties
raw formation energy: -0.803 eV/atom
SG: No. 12
total DFT energy (no corrections): -6.88 eV/atom

=====

Th2BS: optimized geometry, PBE.

Lattice parameters (Å, degrees): 5.644 5.644 6.981 113.84 113.84 90.00
Positions (direct):
Th 0.760 0.760 0.520
Th 0.510 0.010 0.020
Th 0.240 0.240 0.480
Th 0.990 0.490 0.980
B 0.750 0.250 0.500
B 0.000 0.000 0.000
S 0.500 0.500 0.000
S 0.250 0.750 0.500

## Properties
raw formation energy: -1.026 eV/atom
SG: No. 141
ΔE to the lowest computed polymorph: 11 meV/atom
total DFT energy (no corrections): -7.44 eV/atom

=====

Th3BS2: optimized geometry, PBE.

Lattice parameters (Å, degrees): 6.972 6.972 7.037 99.50 99.50 120.07
Positions (direct):
Th 0.607 0.940 0.773
Th 0.060 0.393 0.227
Th 0.908 0.591 0.772
Th 0.257 0.241 0.772
Th 0.409 0.092 0.228
Th 0.759 0.743 0.228
B 0.000 0.000 0.000
B 0.667 0.333 0.000
S 0.833 0.167 0.500
S 0.333 0.667 0.000
S 0.170 0.830 0.500
S 0.497 0.503 0.500

## Properties
raw formation energy: -1.344 eV/atom
SG: No. 12
total DFT energy (no corrections): -7.54 eV/atom

=====

ThB2S6: optimized geometry, PBE.

Lattice parameters (Å, degrees): 6.036 7.975 7.975 80.10 76.73 76.73
Positions (direct):
Th 0.250 0.170 0.830
Th 0.750 0.830 0.170
B 0.295 0.664 0.774
B 0.205 0.226 0.336
B 0.705 0.336 0.226
B 0.795 0.774 0.664
S 0.563 0.697 0.583
S 0.937 0.417 0.303
S 0.437 0.303 0.417
S 0.063 0.583 0.697
S 0.892 0.929 0.463
S 0.608 0.537 0.071
S 0.108 0.071 0.537
S 0.392 0.463 0.929
S 0.162 0.836 0.927
S 0.338 0.073 0.164
S 0.838 0.164 0.073
S 0.662 0.927 0.836

## Properties
raw formation energy: -0.631 eV/atom
SG: No. 15
total DFT energy (no corrections): -5.69 eV/atom

=====

Th5BS4: optimized geometry, PBE.

Lattice parameters (Å, degrees): 5.695 6.998 6.998 80.47 65.99 65.99
Positions (direct):
Th 0.904 0.382 0.812
Th 0.286 0.812 0.618
Th 0.716 0.188 0.382
Th 0.098 0.618 0.188
Th 0.501 0.000 0.000
B 0.001 0.000 0.000
S 0.404 0.399 0.795
S 0.803 0.795 0.601
S 0.199 0.205 0.399
S 0.598 0.601 0.205

## Properties
raw formation energy: -1.549 eV/atom
SG: No. 87
total DFT energy (no corrections): -7.58 eV/atom

=====

Th2BS: optimized geometry, PBE.

Lattice parameters (Å, degrees): 4.003 4.003 7.055 73.52 73.52 60.00
Positions (direct):
S 0.500 0.500 0.500
B 0.000 0.000 0.000
Th 0.259 0.259 0.222
Th 0.741 0.741 0.778

## Properties
raw formation energy: -1.036 eV/atom
SG: No. 166
ΔE to the lowest computed polymorph: 0 meV/atom
total DFT energy (no corrections): -7.45 eV/atom

=====

Ti7B2S2: optimized geometry, PBE.

Lattice parameters (Å, degrees): 3.306 7.264 7.264 63.01 76.85 76.85
Positions (direct):
Ti 0.821 0.060 0.298
Ti 0.872 0.417 0.839
Ti 0.500 0.008 0.992
Ti 0.608 0.503 0.282
Ti 0.392 0.718 0.497
Ti 0.179 0.702 0.940
Ti 0.128 0.161 0.583
B 0.000 0.781 0.219
B 0.500 0.329 0.671
S 0.735 0.853 0.678
S 0.265 0.322 0.147

## Properties
raw formation energy: -0.745 eV/atom
SG: No. 44
total DFT energy (no corrections): -7.73 eV/atom

=====

Ti2B2S7: optimized geometry, PBE.

Lattice parameters (Å, degrees): 5.399 6.187 6.187 101.90 98.10 98.10
Positions (direct):
Ti 0.500 0.316 0.684
Ti 0.500 0.684 0.316
B 0.107 0.789 0.789
B 0.893 0.211 0.211
S 0.287 0.591 0.924
S 0.713 0.076 0.409
S 0.713 0.409 0.076
S 0.287 0.924 0.591
S 0.214 0.394 0.394
S 0.000 0.000 0.000
S 0.786 0.606 0.606

## Properties
raw formation energy: -0.608 eV/atom
SG: No. 12
total DFT energy (no corrections): -5.88 eV/atom

=====

Ti3BS: optimized geometry, PBE.

Lattice parameters (Å, degrees): 4.231 4.231 4.231 90.00 90.00 90.00
Positions (direct):
S 0.500 0.500 0.500
B 0.000 0.000 0.000
Ti 0.000 0.500 0.000
Ti 0.000 0.000 0.500
Ti 0.500 0.000 0.000

## Properties
raw formation energy: -0.174 eV/atom
SG: No. 221
ΔE to the lowest computed polymorph: 711 meV/atom
total DFT energy (no corrections): -7.07 eV/atom

=====

Ti2BS: optimized geometry, PBE.

Lattice parameters (Å, degrees): 5.197 5.197 6.346 65.83 65.83 90.00
Positions (direct):
S 0.000 0.000 0.000
S 0.750 0.250 0.500
B 0.500 0.500 0.000
B 0.250 0.750 0.500
Ti 0.576 0.125 0.250
Ti 0.174 0.625 0.250
Ti 0.375 0.424 0.750
Ti 0.875 0.826 0.750

## Properties
raw formation energy: -0.359 eV/atom
SG: No. 122
total DFT energy (no corrections): -7.01 eV/atom

=====

Please write out number 8 again, unchanged.
Th2BS: optimized geometry, PBE.

Lattice parameters (Å, degrees): 4.003 4.003 7.055 73.52 73.52 60.00
Positions (direct):
S 0.500 0.500 0.500
B 0.000 0.000 0.000
Th 0.259 0.259 0.222
Th 0.741 0.741 0.778

## Properties
raw formation energy: -1.036 eV/atom
SG: No. 166
ΔE to the lowest computed polymorph: 0 meV/atom
total DFT energy (no corrections): -7.45 eV/atom

=====

Q: The lowest raw formation energy belongs to which entry?
A: Th5BS4